Material: TlIn7Pb5
Method: DFT, GGA-PBE
State: optimized geometry

Lattice parameters (Å, degrees): 14.8227 10.8374 5.1769 90.00 109.91 90.00
Last column: nearest neighbours and their distance in Å.
Space group Cm (No. 8)
Symmetry-distinct sites (fractional):
Tl: 0.0000 0.0000 0.0000 (multiplicity 2)  5 In 3.37-3.69, 6 Pb 3.41-3.71
In: 0.0997 0.5000 0.6048 (multiplicity 2)  2 Pb 3.42, 8 In 3.44-3.78
In: 0.3030 0.5000 0.2850 (multiplicity 2)  6 Pb 3.27-3.50, 2 In 3.42
In: 0.3503 0.0000 0.3516 (multiplicity 2)  4 Pb 3.37-3.48, 5 In 3.41-3.48
In: 0.4728 0.1353 0.9760 (multiplicity 4)  3 In 2.93-3.17, 2 Pb 3.12-3.17
In: 0.4929 0.3000 0.4919 (multiplicity 4)  3 In 3.14-3.42, 2 Tl 3.37-3.38, 1 Pb 3.50
Pb: 0.1720 0.2240 0.1575 (multiplicity 4)  3 In 3.17-3.50, 3 Pb 3.27-3.52, 1 Tl 3.41
Pb: 0.1899 0.0000 0.6837 (multiplicity 2)  4 In 3.37-3.50, 6 Pb 3.52-3.73, 2 Tl 3.70-3.71
Pb: 0.2978 0.3148 0.7792 (multiplicity 4)  4 In 3.12-3.42, 2 Pb 3.27-3.28, 1 Tl 3.46

Energy of formation in eV/atom: 0.06
Energy in eV/atom: -3.02